First-principles (PBE) data for PmDyTh2 after structural relaxation, as listed in Alexandria.

Properties
Calculated formation energy, eV per atom: 0.179
Total magnetic moment, μB/f.u.: 0.0
Distance to the lowest polymorph of the same formula, meV/atom: 149.5
ρ, Mg/m³: 9.9
E_tot, eV for the cell shown: -93.91

abc: 8.0404 8.0404 8.0404
angles: 90.00 90.00 90.00
Space group Fm-3m (No. 225)
One atom of each set of equivalent atoms:
Pm 0.0000 0.0000 0.0000
Dy 0.0000 0.0000 0.5000
Th 0.2500 0.2500 0.2500